A plane-wave DFT calculation with PBE was carried out for crystalline RbCdSCl2 at its relaxed geometry.

Cell: 6.089 6.089 6.050 Å, 90.00 90.00 90.00°
Atoms (fractional coordinates):
Rb  0.000  0.000  0.000
Cd  0.500  0.500  0.500
S  0.000  0.000  0.500
Cl  0.000  0.500  0.000
Cl  0.500  0.000  0.000

offset from the most stable computed form = 1014 meV/atom
theoretical density = 2.2 g/cm3
space-group type = No. 123



A plane-wave DFT calculation with PBE was carried out for crystalline RbScCdCl6 at its relaxed geometry.

Cell: 6.796 6.796 14.493 Å, 90.00 90.00 120.00°
Atoms (fractional coordinates):
Rb  0.000  0.000  0.000
Rb  0.000  0.000  0.500
Sc  0.333  0.667  0.250
Sc  0.667  0.333  0.750
Cd  0.333  0.667  0.750
Cd  0.667  0.333  0.250
Cl  0.017  0.386  0.148
Cl  0.017  0.631  0.352
Cl  0.369  0.386  0.352
Cl  0.369  0.983  0.148
Cl  0.386  0.017  0.648
Cl  0.386  0.369  0.852
Cl  0.614  0.631  0.148
Cl  0.614  0.983  0.352
Cl  0.631  0.017  0.852
Cl  0.631  0.614  0.648
Cl  0.983  0.369  0.648
Cl  0.983  0.614  0.852

theoretical density = 2.6 g/cm3
space-group type = No. 163
raw total energy = -3.91 eV per atom



A plane-wave DFT calculation with PBE was carried out for crystalline Rb2ScCdCl at its relaxed geometry.

Cell: 6.028 6.028 6.616 Å, 90.00 90.00 90.00°
Atoms (fractional coordinates):
Rb  0.000  0.500  0.000
Rb  0.500  0.000  0.000
Sc  0.000  0.000  0.500
Cd  0.500  0.500  0.500
Cl  0.500  0.500  0.000

theoretical density = 2.5 g/cm3
space-group type = No. 123
raw total energy = -2.22 eV per atom



A plane-wave DFT calculation with PBE was carried out for crystalline RbScCd2Cl8 at its relaxed geometry.

Cell: 6.493 6.493 9.076 Å, 77.98 78.40 77.22°
Atoms (fractional coordinates):
Rb  0.000  0.000  0.000
Sc  0.000  0.000  0.500
Cd  0.444  0.439  0.228
Cd  0.556  0.561  0.772
Cl  0.175  0.741  0.708
Cl  0.249  0.814  0.296
Cl  0.257  0.242  0.480
Cl  0.338  0.321  0.010
Cl  0.662  0.679  0.990
Cl  0.743  0.758  0.520
Cl  0.751  0.186  0.704
Cl  0.825  0.259  0.292

theoretical density = 2.9 g/cm3
space-group type = No. 2
raw total energy = -3.53 eV per atom



A plane-wave DFT calculation with PBE was carried out for crystalline RbSmCdCl6 at its relaxed geometry.

Cell: 7.051 7.051 14.492 Å, 90.00 90.00 120.00°
Atoms (fractional coordinates):
Rb  0.000  0.000  0.000
Rb  0.000  0.000  0.500
Sm  0.333  0.667  0.250
Sm  0.667  0.333  0.750
Cd  0.333  0.667  0.750
Cd  0.667  0.333  0.250
Cl  0.005  0.379  0.643
Cl  0.005  0.626  0.857
Cl  0.374  0.379  0.857
Cl  0.374  0.995  0.643
Cl  0.379  0.005  0.143
Cl  0.379  0.374  0.357
Cl  0.621  0.626  0.643
Cl  0.621  0.995  0.857
Cl  0.626  0.005  0.357
Cl  0.626  0.621  0.143
Cl  0.995  0.374  0.143
Cl  0.995  0.621  0.357

theoretical density = 3.0 g/cm3
space-group type = No. 163
raw total energy = -3.80 eV per atom



A plane-wave DFT calculation with PBE was carried out for crystalline RbSmCd2Cl8 at its relaxed geometry.

Cell: 6.620 6.661 9.314 Å, 78.38 79.82 79.43°
Atoms (fractional coordinates):
Rb  0.000  0.000  0.000
Sm  0.000  0.000  0.500
Cd  0.458  0.445  0.216
Cd  0.542  0.555  0.784
Cl  0.170  0.732  0.726
Cl  0.225  0.785  0.290
Cl  0.298  0.243  0.464
Cl  0.359  0.301  0.009
Cl  0.641  0.699  0.991
Cl  0.702  0.757  0.536
Cl  0.775  0.215  0.710
Cl  0.830  0.268  0.274

theoretical density = 3.2 g/cm3
space-group type = No. 2
raw total energy = -3.46 eV per atom